[1]
Below is an optimized crystal structure of Nd3Ho8Tm3, with properties calculated at the GGA-PBE level.

Results
Its size of the total moment is 0.0 Bohr magnetons per cell. Its formation energy is 110 meV per atom. The calculation puts the theoretical density at 8.3 Mg/m³.

Unit cell a=9.6282 b=9.6282 c=9.6282 alpha=146.04 beta=112.04 gamma=78.19
Fractional coordinates of all 14 atoms:
Nd: 0.0000 0.0000 0.0000
Nd: 0.1823 0.6823 0.5000
Nd: 0.8177 0.3177 0.5000
Ho: 0.1194 0.2799 0.8395
Ho: 0.2395 0.8975 0.3419
Ho: 0.4403 0.2799 0.1605
Ho: 0.4444 0.1025 0.3419
Ho: 0.5556 0.8975 0.6581
Ho: 0.5597 0.7201 0.8395
Ho: 0.7605 0.1025 0.6581
Ho: 0.8806 0.7201 0.1605
Tm: 0.2048 0.5000 0.7048
Tm: 0.5000 0.5000 0.0000
Tm: 0.7952 0.5000 0.2952



[2]
Below is an optimized crystal structure of TbSmHo2Bi4, with properties calculated at the GGA-PBE level.

Results
Its size of the total moment is 0.0 Bohr magnetons per cell. Its formation energy is -868 meV per atom. The calculation puts the theoretical density at 9.5 Mg/m³.

Unit cell a=7.7810 b=4.4964 c=7.7829 alpha=90.00 beta=109.47 gamma=90.00
Fractional coordinates of all 8 atoms:
Tb: 0.0000 0.0000 0.0000
Sm: 0.0000 0.5000 0.5000
Ho: 0.5000 0.0000 0.5000
Ho: 0.5000 0.5000 0.0000
Bi: 0.2538 0.5000 0.2493
Bi: 0.2552 0.0000 0.7538
Bi: 0.7448 0.0000 0.2462
Bi: 0.7462 0.5000 0.7507



[3]
Below is an optimized crystal structure of Pm12SmEr7, with properties calculated at the GGA-PBE level.

Results
Its size of the total moment is 0.5 Bohr magnetons per cell. Its formation energy is 102 meV per atom. The value obtained for the energy above the most stable polymorph in this dataset is 0.00 eV/f.u. The calculation puts the theoretical density at 7.7 Mg/m³.

Unit cell a=8.8286 b=8.8286 c=8.8286 alpha=98.30 beta=98.30 gamma=98.30
Fractional coordinates of all 20 atoms:
Pm: 0.0000 0.2623 0.7377
Pm: 0.0000 0.7377 0.2623
Pm: 0.1425 0.1425 0.4091
Pm: 0.1425 0.4091 0.1425
Pm: 0.2623 0.0000 0.7377
Pm: 0.2623 0.7377 0.0000
Pm: 0.4091 0.1425 0.1425
Pm: 0.5909 0.8575 0.8575
Pm: 0.7377 0.0000 0.2623
Pm: 0.7377 0.2623 0.0000
Pm: 0.8575 0.5909 0.8575
Pm: 0.8575 0.8575 0.5909
Sm: 0.5000 0.5000 0.5000
Er: 0.0000 0.0000 0.0000
Er: 0.1610 0.5963 0.5963
Er: 0.4037 0.4037 0.8390
Er: 0.4037 0.8390 0.4037
Er: 0.5963 0.1610 0.5963
Er: 0.5963 0.5963 0.1610
Er: 0.8390 0.4037 0.4037



Which value of size of the total moment does entry 2 give? 0.0 Bohr magnetons per cell



Which of these has the highest size of the total moment? Pm12SmEr7